No. 1
SCAN ZrBe2Si, PBEsol geometry; formation energy (no corrections) = -0.007 eV per atom; VASP energy = -0.9086 Ry per atom
1.0
-1.8588 1.8588 3.8704
1.8588 -1.8588 3.8704
1.8588 1.8588 -3.8704
Zr Be Si
1 2 1
Direct
0.0000 0.0000 0.0000
0.2500 0.7500 0.5000
0.7500 0.2500 0.5000
0.5000 0.5000 0.0000

No. 2
SCAN ZrBeSi2, PBEsol geometry; formation energy (no corrections) = 0.269 eV per atom; VASP energy = -0.9923 Ry per atom
1.0
2.7528 0.0000 0.0000
0.0000 2.7528 0.0000
0.0000 0.0000 7.7396
Zr Be Si
1 1 2
Direct
0.0000 0.0000 0.0000
0.5000 0.5000 0.2605
0.0000 0.0000 0.4503
0.5000 0.5000 0.7327

No. 3
SCAN ZrBe2Si, PBEsol geometry; formation energy (no corrections) = -0.009 eV per atom; VASP energy = -0.9087 Ry per atom
1.0
-1.8142 1.8142 4.1177
1.8142 -1.8142 4.1177
1.8142 1.8142 -4.1177
Zr Be Si
1 2 1
Direct
0.0000 0.0000 0.0000
0.5000 0.5000 0.0000
0.7500 0.2500 0.5000
0.2500 0.7500 0.5000

No. 4
SCAN SmBe13, PBEsol geometry; DFT formation energy = -0.1671 eV/atom; VASP energy = -0.5427 Ry per atom
1.0
0.0000 5.1022 5.1022
5.1022 0.0000 5.1022
5.1022 5.1022 0.0000
Sm Be
2 26
Direct
0.2500 0.2500 0.2500
0.7500 0.7500 0.7500
0.0000 0.0000 0.0000
0.0625 0.2898 0.7102
0.0625 0.7102 0.9375
0.0625 0.9375 0.2898
0.2102 0.4375 0.7898
0.2102 0.5625 0.4375
0.2102 0.7898 0.5625
0.2898 0.0625 0.9375
0.2898 0.7102 0.0625
0.2898 0.9375 0.7102
0.4375 0.2102 0.5625
0.4375 0.5625 0.7898
0.4375 0.7898 0.2102
0.5000 0.5000 0.5000
0.5625 0.2102 0.7898
0.5625 0.4375 0.2102
0.5625 0.7898 0.4375
0.7102 0.0625 0.2898
0.7102 0.2898 0.9375
0.7102 0.9375 0.0625
0.7898 0.2102 0.4375
0.7898 0.4375 0.5625
0.7898 0.5625 0.2102
0.9375 0.0625 0.7102
0.9375 0.2898 0.0625
0.9375 0.7102 0.2898

No. 5
SCAN SrBe2Sn2, PBEsol geometry; DFT formation energy = -0.1623 eV/atom; VASP energy = -1.5234 Ry per atom
1.0
-2.1892 2.1892 5.3874
2.1892 -2.1892 5.3874
2.1892 2.1892 -5.3874
Sr Be Sn
1 2 2
Direct
0.0000 0.0000 0.0000
0.2500 0.7500 0.5000
0.7500 0.2500 0.5000
0.3664 0.3664 0.0000
0.6336 0.6336 0.0000

No. 6
SCAN TaBe3Sn, PBEsol geometry; DFT formation energy = 1.6393 eV/atom; VASP energy = -1.5783 Ry per atom
1.0
4.3449 0.0000 0.0000
0.0000 4.3449 0.0000
0.0000 0.0000 4.3449
Ta Be Sn
1 3 1
Direct
0.0000 0.0000 0.0000
0.0000 0.5000 0.5000
0.5000 0.0000 0.5000
0.5000 0.5000 0.0000
0.5000 0.5000 0.5000

No. 7
SCAN TaBeSn3, PBEsol geometry; DFT formation energy = 1.0827 eV/atom; VASP energy = -2.5473 Ry per atom
1.0
4.7456 0.0000 0.0000
0.0000 4.7456 0.0000
0.0000 0.0000 4.7456
Ta Be Sn
1 1 3
Direct
0.0000 0.0000 0.0000
0.5000 0.5000 0.5000
0.0000 0.5000 0.5000
0.5000 0.0000 0.5000
0.5000 0.5000 0.0000

No. 8
SCAN Ta2BeTcSn, PBEsol geometry; DFT formation energy = 0.7069 eV/atom; VASP energy = -3.0130 Ry per atom
1.0
4.3928 0.0000 0.0000
0.0000 4.3928 0.0000
0.0000 0.0000 4.2324
Ta Be Tc Sn
2 1 1 1
Direct
0.0000 0.5000 0.0000
0.5000 0.0000 0.0000
0.0000 0.0000 0.0000
0.5000 0.5000 0.5000
0.0000 0.0000 0.5000

| no. | magnetization (μB/cell) |
| --- | --- |
| 1 | 0.0 |
| 2 | 0.0 |
| 3 | 0.0 |
| 4 | 0.0 |
| 5 | 0.0 |
| 6 | 0.0 |
| 7 | 2.2 |
| 8 | 1.3 |